# Ca6Ag2Ir (PBE, optimized geometry)
data_Ca6Ag2Ir
_chemical_formula_sum 'Ca12 Ag4 Ir2'
_cell_length_a 6.8343
_cell_length_b 8.1106
_cell_length_c 12.2388
_cell_angle_alpha 90.00
_cell_angle_beta 123.58
_cell_angle_gamma 90.00
_symmetry_space_group_name_H-M 'P 1 21/c 1'
_symmetry_Int_Tables_number 14
loop_
_symmetry_equiv_pos_as_xyz
'x,y,z'
'-x,-y,-z'
'-x,y+1/2,-z+1/2'
'x,-y+1/2,z+1/2'
loop_
_atom_site_label
_atom_site_type_symbol
_atom_site_fract_x
_atom_site_fract_y
_atom_site_fract_z
Ca1 Ca 0.0917 0.1896 0.4412
Ca2 Ca 0.2818 0.6689 0.4414
Ca3 Ca 0.3827 0.0334 0.2528
Ag1 Ag 0.1819 0.1161 0.7425
Ir1 Ir 0.0000 0.0000 0.0000
# calculated volume: 31.4 Å³ per atom
# D(E_F): 0.462 states/eV per atom
# ρ: 3.81 g/cm3
# E: -0.118 Ha/atom
# energy of formation: -0.263 eV/atom



# CaAgIr2 (PBE, optimized geometry)
data_CaAgIr2
_chemical_formula_sum 'Ca1 Ag1 Ir2'
_cell_length_a 2.7318
_cell_length_b 4.4725
_cell_length_c 5.8364
_cell_angle_alpha 90.00
_cell_angle_beta 90.00
_cell_angle_gamma 90.00
_symmetry_space_group_name_H-M 'P m m m'
_symmetry_Int_Tables_number 47
loop_
_symmetry_equiv_pos_as_xyz
'x,y,z'
'-x,-y,-z'
'-x,-y,z'
'x,y,-z'
'x,-y,-z'
'-x,y,z'
'-x,y,-z'
'x,-y,z'
loop_
_atom_site_label
_atom_site_type_symbol
_atom_site_fract_x
_atom_site_fract_y
_atom_site_fract_z
Ca1 Ca 0.0000 0.0000 0.0000
Ag1 Ag 0.0000 0.0000 0.5000
Ir1 Ir 0.5000 0.5000 0.2764
# energy above the lowest structure with this stoichiometry: 182 meV/atom
# calculated volume: 17.8 Å³ per atom
# D(E_F): 1.147 states/eV per atom
# ρ: 12.40 g/cm3
# E: -0.198 Ha/atom
# energy of formation: 0.259 eV/atom



# CaAgIr2 (PBE, optimized geometry)
data_CaAgIr2
_chemical_formula_sum 'Ca4 Ag4 Ir8'
_cell_length_a 4.3425
_cell_length_b 4.3425
_cell_length_c 19.4010
_cell_angle_alpha 90.00
_cell_angle_beta 90.00
_cell_angle_gamma 90.00
_symmetry_space_group_name_H-M 'I -4 2 d'
_symmetry_Int_Tables_number 122
_symmetry_space_group_name_Hall 'I -4 2bw'
loop_
_atom_site_label
_atom_site_type_symbol
_atom_site_fract_x
_atom_site_fract_y
_atom_site_fract_z
Ca1 Ca 0.0000 0.0000 0.0000
Ag1 Ag 0.0000 0.0000 0.5000
Ir1 Ir 0.1135 0.2500 0.6250
# energy above the lowest structure with this stoichiometry: 250 meV/atom
# calculated volume: 22.9 Å³ per atom
# D(E_F): 0.957 states/eV per atom
# ρ: 9.67 g/cm3
# E: -0.195 Ha/atom
# energy of formation: 0.327 eV/atom



# CaAgIr2 (PBE, optimized geometry)
data_CaAgIr2
_chemical_formula_sum 'Ca2 Ag2 Ir4'
_cell_length_a 4.2702
_cell_length_b 4.2702
_cell_length_c 7.7276
_cell_angle_alpha 90.00
_cell_angle_beta 90.00
_cell_angle_gamma 90.00
_symmetry_space_group_name_H-M 'I -4 m 2'
_symmetry_Int_Tables_number 119
_symmetry_space_group_name_Hall 'I -4 -2'
loop_
_atom_site_label
_atom_site_type_symbol
_atom_site_fract_x
_atom_site_fract_y
_atom_site_fract_z
Ca1 Ca 0.0000 0.0000 0.0000
Ag1 Ag 0.0000 0.5000 0.2500
Ir1 Ir 0.0000 0.0000 0.5000
Ir2 Ir 0.0000 0.5000 0.7500
# energy above the lowest structure with this stoichiometry: 167 meV/atom
# calculated volume: 17.6 Å³ per atom
# D(E_F): 1.485 states/eV per atom
# ρ: 12.55 g/cm3
# E: -0.198 Ha/atom
# energy of formation: 0.244 eV/atom



# Ca2AgIr2 (PBE, optimized geometry)
data_Ca2AgIr2
_chemical_formula_sum 'Ca4 Ag2 Ir4'
_cell_length_a 5.5926
_cell_length_b 5.5926
_cell_length_c 7.7895
_cell_angle_alpha 90.00
_cell_angle_beta 90.00
_cell_angle_gamma 90.00
_symmetry_space_group_name_H-M 'I 4/m m m'
_symmetry_Int_Tables_number 139
_symmetry_space_group_name_Hall '-I 4 2'
loop_
_atom_site_label
_atom_site_type_symbol
_atom_site_fract_x
_atom_site_fract_y
_atom_site_fract_z
Ca1 Ca 0.0000 0.5000 0.2500
Ag1 Ag 0.0000 0.0000 0.0000
Ir1 Ir 0.0000 0.0000 0.3457
# energy above the lowest structure with this stoichiometry: 356 meV/atom
# calculated volume: 24.4 Å³ per atom
# D(E_F): 1.042 states/eV per atom
# ρ: 7.80 g/cm3
# E: -0.174 Ha/atom
# energy of formation: 0.193 eV/atom



# CaAgIr2 (PBE, optimized geometry)
data_CaAgIr2
_chemical_formula_sum 'Ca2 Ag2 Ir4'
_cell_length_a 3.9801
_cell_length_b 3.9801
_cell_length_c 8.9520
_cell_angle_alpha 90.00
_cell_angle_beta 90.00
_cell_angle_gamma 90.00
_symmetry_space_group_name_H-M 'I 4/m m m'
_symmetry_Int_Tables_number 139
_symmetry_space_group_name_Hall '-I 4 2'
loop_
_atom_site_label
_atom_site_type_symbol
_atom_site_fract_x
_atom_site_fract_y
_atom_site_fract_z
Ca1 Ca 0.0000 0.0000 0.0000
Ag1 Ag 0.0000 0.0000 0.5000
Ir1 Ir 0.0000 0.5000 0.2500
# energy above the lowest structure with this stoichiometry: 143 meV/atom
# calculated volume: 17.7 Å³ per atom
# D(E_F): 1.521 states/eV per atom
# ρ: 12.47 g/cm3
# E: -0.199 Ha/atom
# energy of formation: 0.220 eV/atom



# Ca2AgIr (PBE, optimized geometry)
data_Ca2AgIr
_chemical_formula_sum 'Ca8 Ag4 Ir4'
_cell_length_a 6.9872
_cell_length_b 6.9872
_cell_length_c 6.9872
_cell_angle_alpha 90.00
_cell_angle_beta 90.00
_cell_angle_gamma 90.00
_symmetry_space_group_name_H-M 'F -4 3 m'
_symmetry_Int_Tables_number 216
_symmetry_space_group_name_Hall 'F -4 2 3'
loop_
_atom_site_label
_atom_site_type_symbol
_atom_site_fract_x
_atom_site_fract_y
_atom_site_fract_z
Ca1 Ca 0.0000 0.0000 0.0000
Ca2 Ca 0.2500 0.2500 0.2500
Ag1 Ag 0.0000 0.0000 0.5000
Ir1 Ir 0.2500 0.2500 0.7500
# calculated volume: 21.3 Å³ per atom
# D(E_F): 0.350 states/eV per atom
# ρ: 7.40 g/cm3
# E: -0.146 Ha/atom
# energy of formation: -0.042 eV/atom



# CaAg3Ir (PBE, optimized geometry)
data_CaAg3Ir
_chemical_formula_sum 'Ca1 Ag3 Ir1'
_cell_length_a 4.9497
_cell_length_b 4.9497
_cell_length_c 4.9497
_cell_angle_alpha 90.00
_cell_angle_beta 90.00
_cell_angle_gamma 90.00
_symmetry_space_group_name_H-M 'P m -3 m'
_symmetry_Int_Tables_number 221
_symmetry_space_group_name_Hall '-P 4 2 3'
loop_
_atom_site_label
_atom_site_type_symbol
_atom_site_fract_x
_atom_site_fract_y
_atom_site_fract_z
Ca1 Ca 0.0000 0.0000 0.0000
Ag1 Ag 0.0000 0.0000 0.5000
Ir1 Ir 0.5000 0.5000 0.5000
# energy above the lowest structure with this stoichiometry: 1106 meV/atom
# calculated volume: 24.3 Å³ per atom
# D(E_F): 0.494 states/eV per atom
# ρ: 7.61 g/cm3
# E: -0.083 Ha/atom
# energy of formation: 1.615 eV/atom



# Ca3AgIr (PBE, optimized geometry)
data_Ca3AgIr
_chemical_formula_sum 'Ca3 Ag1 Ir1'
_cell_length_a 5.4426
_cell_length_b 5.4426
_cell_length_c 5.4426
_cell_angle_alpha 90.00
_cell_angle_beta 90.00
_cell_angle_gamma 90.00
_symmetry_space_group_name_H-M 'P m -3 m'
_symmetry_Int_Tables_number 221
_symmetry_space_group_name_Hall '-P 4 2 3'
loop_
_atom_site_label
_atom_site_type_symbol
_atom_site_fract_x
_atom_site_fract_y
_atom_site_fract_z
Ca1 Ca 0.0000 0.0000 0.5000
Ag1 Ag 0.5000 0.5000 0.5000
Ir1 Ir 0.0000 0.0000 0.0000
# energy above the lowest structure with this stoichiometry: 192 meV/atom
# calculated volume: 32.2 Å³ per atom
# D(E_F): 0.634 states/eV per atom
# ρ: 4.33 g/cm3
# E: -0.135 Ha/atom
# energy of formation: -0.122 eV/atom



# Ca6AgIr2 (PBE, optimized geometry)
data_Ca6AgIr2
_chemical_formula_sum 'Ca24 Ag4 Ir8'
_cell_length_a 9.6141
_cell_length_b 9.6249
_cell_length_c 10.8665
_cell_angle_alpha 90.00
_cell_angle_beta 90.00
_cell_angle_gamma 90.00
_symmetry_space_group_name_H-M 'I m m m'
_symmetry_Int_Tables_number 71
_symmetry_space_group_name_Hall '-I 2 2'
loop_
_atom_site_label
_atom_site_type_symbol
_atom_site_fract_x
_atom_site_fract_y
_atom_site_fract_z
Ca1 Ca 0.0000 0.1750 0.1590
Ca2 Ca 0.1794 0.2145 0.5000
Ca3 Ca 0.2035 0.5000 0.2540
Ag1 Ag 0.0000 0.5000 0.0000
Ag2 Ag 0.0000 0.5000 0.5000
Ir1 Ir 0.0000 0.0000 0.3785
Ir2 Ir 0.1935 0.0000 0.0000
# calculated volume: 27.9 Å³ per atom
# D(E_F): 0.513 states/eV per atom
# ρ: 4.84 g/cm3
# E: -0.145 Ha/atom
# energy of formation: -0.316 eV/atom



# Ca2AgIr (PBE, optimized geometry)
data_Ca2AgIr
_chemical_formula_sum 'Ca4 Ag2 Ir2'
_cell_length_a 4.3136
_cell_length_b 4.3136
_cell_length_c 9.3413
_cell_angle_alpha 90.00
_cell_angle_beta 90.00
_cell_angle_gamma 90.00
_symmetry_space_group_name_H-M 'I -4 m 2'
_symmetry_Int_Tables_number 119
_symmetry_space_group_name_Hall 'I -4 -2'
loop_
_atom_site_label
_atom_site_type_symbol
_atom_site_fract_x
_atom_site_fract_y
_atom_site_fract_z
Ca1 Ca 0.0000 0.0000 0.0000
Ca2 Ca 0.0000 0.5000 0.2500
Ag1 Ag 0.0000 0.0000 0.5000
Ir1 Ir 0.0000 0.5000 0.7500
# calculated volume: 21.7 Å³ per atom
# D(E_F): 0.383 states/eV per atom
# ρ: 7.27 g/cm3
# E: -0.149 Ha/atom
# energy of formation: -0.120 eV/atom



# CaAgIr2 (PBE, optimized geometry)
data_CaAgIr2
_chemical_formula_sum 'Ca1 Ag1 Ir2'
_cell_length_a 4.0021
_cell_length_b 4.0021
_cell_length_c 4.3570
_cell_angle_alpha 90.00
_cell_angle_beta 90.00
_cell_angle_gamma 90.00
_symmetry_space_group_name_H-M 'P 4/m m m'
_symmetry_Int_Tables_number 123
_symmetry_space_group_name_Hall '-P 4 2'
loop_
_atom_site_label
_atom_site_type_symbol
_atom_site_fract_x
_atom_site_fract_y
_atom_site_fract_z
Ca1 Ca 0.0000 0.0000 0.0000
Ag1 Ag 0.5000 0.5000 0.0000
Ir1 Ir 0.0000 0.5000 0.5000
# energy above the lowest structure with this stoichiometry: 80 meV/atom
# calculated volume: 17.4 Å³ per atom
# D(E_F): 1.286 states/eV per atom
# ρ: 12.67 g/cm3
# E: -0.202 Ha/atom
# energy of formation: 0.157 eV/atom